1.
Crystalline NbGaNi3 at its relaxed geometry, computed with PBE.

Cell and atoms, written as POSCAR:
```
NbGaNi3
1.0
2.345 -6.638 0.000
2.345 6.638 0.000
0.000 0.000 4.447
Nb Ga Ni
2 2 6
Cartesian
2.345 4.043 3.335
2.345 -4.043 1.112
2.345 0.952 1.112
2.345 -0.952 3.335
0.000 0.000 0.000
0.000 0.000 2.224
1.183 1.826 3.335
1.183 -1.826 1.112
3.506 1.826 3.335
3.506 -1.826 1.112
```

Results
Energy above the lowest structure with this stoichiometry ... 0.79 eV/f.u.
Formation energy ... -0.074 eV per atom


2.
Crystalline Nb2GaNi at its relaxed geometry, computed with PBE.

Cell and atoms, written as POSCAR:
```
Nb2GaNi
1.0
3.979 0.000 0.000
0.000 3.979 0.000
0.000 0.000 3.936
Nb Ga Ni
2 1 1
Cartesian
0.000 1.990 0.000
1.990 0.000 0.000
0.000 0.000 1.968
1.990 1.990 1.968
```

Results
Formation energy ... -0.229 eV per atom


3.
Crystalline NbGa2Ni2 at its relaxed geometry, computed with PBE.

Cell and atoms, written as POSCAR:
```
NbGa2Ni2
1.0
7.110 0.000 0.000
0.000 7.110 0.000
0.000 0.000 2.715
Nb Ga Ni
2 4 4
Cartesian
0.000 0.000 0.000
3.555 3.555 0.000
1.197 2.358 1.357
2.358 5.913 1.357
4.752 1.197 1.357
5.913 4.752 1.357
0.903 4.458 0.000
2.652 0.903 0.000
4.458 6.207 0.000
6.207 2.652 0.000
```

Results
Energy above the lowest structure with this stoichiometry ... 0.00 eV/f.u.
Formation energy ... -0.280 eV per atom


4.
Crystalline NbGa2Ni4 at its relaxed geometry, computed with PBE.

Cell and atoms, written as POSCAR:
```
NbGa2Ni4
1.0
4.553 0.000 0.000
0.000 4.553 0.000
0.000 0.000 12.146
Nb Ga Ni
2 4 8
Cartesian
0.000 0.000 0.000
2.277 2.277 6.073
0.000 0.000 4.720
0.000 0.000 7.426
2.277 2.277 1.353
2.277 2.277 10.792
0.000 0.000 2.345
0.000 0.000 9.801
0.000 2.277 0.000
0.000 2.277 6.073
2.277 0.000 0.000
2.277 0.000 6.073
2.277 2.277 3.728
2.277 2.277 8.418
```

Results
Energy above the lowest structure with this stoichiometry ... 6.85 eV/f.u.
Formation energy ... 0.795 eV per atom


5.
Crystalline NbGa3Ni at its relaxed geometry, computed with PBE.

Cell and atoms, written as POSCAR:
```
NbGa3Ni
1.0
4.976 0.000 0.000
0.000 4.976 0.000
0.000 0.000 4.976
Nb Ga Ni
1 3 1
Cartesian
0.000 0.000 0.000
0.000 0.000 2.488
0.000 2.488 0.000
2.488 0.000 0.000
2.488 2.488 2.488
```

Results
Energy above the lowest structure with this stoichiometry ... 3.24 eV/f.u.
Formation energy ... 0.990 eV per atom


6.
Crystalline NbGa2Ni at its relaxed geometry, computed with PBE.

Cell and atoms, written as POSCAR:
```
NbGa2Ni
1.0
3.975 0.000 0.000
-1.987 3.442 0.000
0.000 0.000 13.900
Nb Ga Ni
3 6 3
Cartesian
0.000 0.000 0.000
0.000 2.295 9.267
1.987 1.147 4.633
0.000 0.000 7.834
0.000 0.000 10.912
0.000 2.295 3.201
0.000 2.295 6.278
1.987 1.147 1.645
1.987 1.147 12.468
0.000 0.000 2.752
0.000 2.295 12.019
1.987 1.147 7.385
```

Results
Formation energy ... -0.130 eV per atom


7.
Crystalline NbGaNi3 at its relaxed geometry, computed with PBE.

Cell and atoms, written as POSCAR:
```
NbGaNi3
1.0
4.575 0.000 0.000
0.000 4.575 0.000
0.000 0.000 4.575
Nb Ga Ni
1 1 3
Cartesian
0.000 0.000 0.000
2.287 2.287 2.287
0.000 0.000 2.287
0.000 2.287 0.000
2.287 0.000 0.000
```

Results
Energy above the lowest structure with this stoichiometry ... 7.20 eV/f.u.
Formation energy ... 1.208 eV per atom


8.
Crystalline Nb6Ga3Ni at its relaxed geometry, computed with PBE.

Cell and atoms, written as POSCAR:
```
Nb6Ga3Ni
1.0
7.116 0.000 0.000
0.000 6.385 0.000
-6.333 0.000 7.666
Nb Ga Ni
12 6 2
Cartesian
-1.685 0.883 2.307
-4.852 2.309 6.140
-2.471 1.220 5.377
0.696 1.972 1.544
-2.590 3.938 6.512
0.576 5.639 2.679
0.206 0.746 4.987
3.372 2.446 1.154
0.086 4.412 6.122
3.253 5.165 2.289
5.634 4.075 1.526
2.468 5.501 5.359
1.385 4.408 0.348
-1.782 5.169 4.181
3.558 0.000 0.000
0.391 3.192 3.833
2.564 1.216 3.485
-0.602 1.977 7.318
0.000 0.000 0.000
-3.167 3.192 3.833
```

Results
Formation energy ... -0.023 eV per atom


Q: What is the formation energy in the third record?
A: -0.280 eV per atom


Q: The lowest formation energy belongs to which entry?
A: NbGa2Ni2


Copy entry 6 word for word.
Crystalline NbGa2Ni at its relaxed geometry, computed with PBE.

Cell and atoms, written as POSCAR:
```
NbGa2Ni
1.0
3.975 0.000 0.000
-1.987 3.442 0.000
0.000 0.000 13.900
Nb Ga Ni
3 6 3
Cartesian
0.000 0.000 0.000
0.000 2.295 9.267
1.987 1.147 4.633
0.000 0.000 7.834
0.000 0.000 10.912
0.000 2.295 3.201
0.000 2.295 6.278
1.987 1.147 1.645
1.987 1.147 12.468
0.000 0.000 2.752
0.000 2.295 12.019
1.987 1.147 7.385
```

Results
Formation energy ... -0.130 eV per atom